# 1
This record from Alexandria via LeMat-Bulk describes an optimized crystal structure of HoNp4O10. The functional is PBE-GGA.

a b c (Å): 3.7960 3.7960 13.6858
angles (deg): 97.97 97.97 90.00
With the nearest neighbours (Å) after each atom.
Fractional coordinates of all 15 atoms:
Ho: 0.0000 0.0000 0.0000  8 O 2.35
Np: 0.4023 0.4023 0.8045  8 O 2.26-2.36
Np: 0.8006 0.8006 0.6011  8 O 2.32-2.33
Np: 0.1994 0.1994 0.3989  8 O 2.32-2.33
Np: 0.5977 0.5977 0.1955  8 O 2.26-2.36
O: 0.6500 0.1500 0.3000  4 Np 2.32-2.36
O: 0.0517 0.5517 0.1035  2 Np 2.26, 2 Ho 2.35
O: 0.4483 0.9483 0.8965  2 Np 2.26, 2 Ho 2.35
O: 0.8500 0.3500 0.7000  4 Np 2.32-2.36
O: 0.2500 0.7500 0.5000  4 Np 2.33
O: 0.5517 0.0517 0.1035  2 Np 2.26, 2 Ho 2.35
O: 0.9483 0.4483 0.8965  2 Np 2.26, 2 Ho 2.35
O: 0.3500 0.8500 0.7000  4 Np 2.32-2.36
O: 0.7500 0.2500 0.5000  4 Np 2.33
O: 0.1500 0.6500 0.3000  4 Np 2.32-2.36

Formation energy from raw total energies   -3.187 eV/atom
Final energy   -10.249 eV/atom



# 2
This record from Alexandria via LeMat-Bulk describes an optimized crystal structure of Ho2NpPbO8. The functional is PBE-GGA.

a b c (Å): 5.0454 5.0475 6.9850
angles (deg): 90.00 90.00 92.60
With the nearest neighbours (Å) after each atom.
Fractional coordinates of all 12 atoms:
Ho: 0.5000 0.5000 0.7495  6 O 2.24-2.28
Ho: 0.5000 0.5000 0.2505  6 O 2.24-2.28
Np: 0.0000 0.0000 0.0000  6 O 2.04-2.12
Pb: 0.0000 0.0000 0.5000  6 O 2.08-2.33
O: 0.1883 0.8114 0.2305  1 Np 2.12, 1 Ho 2.28, 1 Pb 2.33
O: 0.7069 0.7073 0.0000  1 Np 2.04, 2 Ho 2.27
O: 0.8118 0.1886 0.2305  1 Np 2.12, 1 Ho 2.28, 1 Pb 2.33
O: 0.8117 0.1886 0.7695  1 Np 2.12, 1 Ho 2.28, 1 Pb 2.33
O: 0.2931 0.2927 0.0000  1 Np 2.04, 2 Ho 2.27
O: 0.1882 0.8114 0.7695  1 Np 2.12, 1 Ho 2.28, 1 Pb 2.33
O: 0.7013 0.7016 0.5000  1 Pb 2.08, 2 Ho 2.24
O: 0.2987 0.2984 0.5000  1 Pb 2.08, 2 Ho 2.24

Formation energy from raw total energies   -2.634 eV/atom
Final energy   -8.089 eV/atom



# 3
This record from Alexandria via LeMat-Bulk describes an optimized crystal structure of HoNpPdO6. The functional is PBE-GGA.

a b c (Å): 5.3579 5.3579 10.0156
angles (deg): 90.00 90.00 120.00
With the nearest neighbours (Å) after each atom.
Fractional coordinates of all 18 atoms:
Ho: 0.0000 0.0000 0.0000  6 O 2.28
Ho: 0.0000 0.0000 0.5000  6 O 2.28
Np: 0.6667 0.3333 0.2500  6 O 2.09
Np: 0.3333 0.6667 0.7500  6 O 2.09
Pd: 0.3333 0.6667 0.2500  6 O 2.12
Pd: 0.6667 0.3333 0.7500  6 O 2.12
O: 0.6584 0.6534 0.1346  1 Np 2.09, 1 Pd 2.12, 1 Ho 2.28
O: 0.9950 0.3416 0.1346  1 Np 2.09, 1 Pd 2.12, 1 Ho 2.28
O: 0.3416 0.9950 0.6346  1 Np 2.09, 1 Pd 2.12, 1 Ho 2.28
O: 0.0050 0.6584 0.8654  1 Np 2.09, 1 Pd 2.12, 1 Ho 2.28
O: 0.3466 0.3416 0.3654  1 Np 2.09, 1 Pd 2.12, 1 Ho 2.28
O: 0.9950 0.6534 0.3654  1 Np 2.09, 1 Pd 2.12, 1 Ho 2.28
O: 0.6534 0.9950 0.8654  1 Np 2.09, 1 Pd 2.12, 1 Ho 2.28
O: 0.6584 0.0050 0.3654  1 Np 2.09, 1 Pd 2.12, 1 Ho 2.28
O: 0.0050 0.3466 0.6346  1 Np 2.09, 1 Pd 2.12, 1 Ho 2.28
O: 0.3466 0.0050 0.1346  1 Np 2.09, 1 Pd 2.12, 1 Ho 2.28
O: 0.6534 0.6584 0.6346  1 Np 2.09, 1 Pd 2.12, 1 Ho 2.28
O: 0.3416 0.3466 0.8654  1 Np 2.09, 1 Pd 2.12, 1 Ho 2.28

Formation energy from raw total energies   -2.285 eV/atom
Final energy   -8.114 eV/atom



# 4
This record from Alexandria via LeMat-Bulk describes an optimized crystal structure of PmHo2NpO8. The functional is PBE-GGA.

a b c (Å): 3.8938 5.3918 7.4637
angles (deg): 90.00 90.00 93.52
With the nearest neighbours (Å) after each atom.
Fractional coordinates of all 12 atoms:
Pm: 0.0000 0.0000 0.5000  8 O 2.35-2.47
Ho: 0.5000 0.5000 0.7427  8 O 2.23-2.42
Ho: 0.5000 0.5000 0.2573  8 O 2.23-2.42
Np: 0.0000 0.0000 0.0000  6 O 2.09-2.11
O: 0.0237 0.7594 0.2193  1 Np 2.09
O: 0.5386 0.7741 0.0000  1 Np 2.11
O: 0.9763 0.2406 0.2193  1 Np 2.09
O: 0.9763 0.2406 0.7807  1 Np 2.09
O: 0.4614 0.2259 0.0000  1 Np 2.11
O: 0.0237 0.7594 0.7807  1 Np 2.09
O: 0.4937 0.7410 0.5000  2 Ho 2.23, 2 Pm 2.35-2.44
O: 0.5063 0.2590 0.5000  2 Ho 2.23, 2 Pm 2.35-2.44

Formation energy from raw total energies   -3.186 eV/atom
Final energy   -8.729 eV/atom



# 5
This record from Alexandria via LeMat-Bulk describes an optimized crystal structure of Pm2HoNpO8. The functional is PBE-GGA.

a b c (Å): 3.9094 5.5060 7.5322
angles (deg): 90.00 90.00 94.28
With the nearest neighbours (Å) after each atom.
Fractional coordinates of all 12 atoms:
Pm: 0.5000 0.5000 0.7413  8 O 2.29-2.49
Pm: 0.5000 0.5000 0.2587  8 O 2.29-2.49
Ho: 0.0000 0.0000 0.5000  8 O 2.27-2.48
Np: 0.0000 0.0000 0.0000  6 O 2.05-2.11
O: 0.0313 0.7701 0.2222  1 Np 2.11
O: 0.5504 0.7814 0.0000  1 Np 2.05
O: 0.9687 0.2299 0.2222  1 Np 2.11
O: 0.9687 0.2299 0.7778  1 Np 2.11
O: 0.4496 0.2186 0.0000  1 Np 2.05
O: 0.0313 0.7701 0.7778  1 Np 2.11
O: 0.5060 0.7542 0.5000  2 Ho 2.27-2.48, 2 Pm 2.29
O: 0.4940 0.2458 0.5000  2 Ho 2.27-2.48, 2 Pm 2.29

Formation energy from raw total energies   -3.150 eV/atom
Final energy   -8.707 eV/atom



# 6
This record from Alexandria via LeMat-Bulk describes an optimized crystal structure of PmHoNpO6. The functional is PBE-GGA.

a b c (Å): 5.7575 5.7575 9.6914
angles (deg): 90.00 90.00 120.00
With the nearest neighbours (Å) after each atom.
Fractional coordinates of all 18 atoms:
Pm: 0.0000 0.0000 0.0000  6 O 2.41
Pm: 0.0000 0.0000 0.5000  6 O 2.41
Ho: 0.3333 0.6667 0.2500  6 O 2.26
Ho: 0.6667 0.3333 0.7500  6 O 2.26
Np: 0.6667 0.3333 0.2500  6 O 2.08
Np: 0.3333 0.6667 0.7500  6 O 2.08
O: 0.6616 0.6377 0.1364  1 Np 2.08, 1 Ho 2.26
O: 0.9760 0.3383 0.1364  1 Np 2.08, 1 Ho 2.26
O: 0.3384 0.9760 0.6364  1 Np 2.08, 1 Ho 2.26
O: 0.0240 0.6617 0.8636  1 Np 2.08, 1 Ho 2.26
O: 0.3623 0.3383 0.3636  1 Np 2.08, 1 Ho 2.26
O: 0.9760 0.6377 0.3636  1 Np 2.08, 1 Ho 2.26
O: 0.6377 0.9760 0.8636  1 Np 2.08, 1 Ho 2.26
O: 0.6616 0.0240 0.3636  1 Np 2.08, 1 Ho 2.26
O: 0.0240 0.3623 0.6364  1 Np 2.08, 1 Ho 2.26
O: 0.3623 0.0240 0.1364  1 Np 2.08, 1 Ho 2.26
O: 0.6377 0.6617 0.6364  1 Np 2.08, 1 Ho 2.26
O: 0.3384 0.3623 0.8636  1 Np 2.08, 1 Ho 2.26

Formation energy from raw total energies   -3.201 eV/atom
Final energy   -8.981 eV/atom



# 7
This record from Alexandria via LeMat-Bulk describes an optimized crystal structure of PrHo2NpO8. The functional is PBE-GGA.

a b c (Å): 3.9265 5.4117 7.4928
angles (deg): 90.00 90.00 93.84
With the nearest neighbours (Å) after each atom.
Fractional coordinates of all 12 atoms:
Pr: 0.0000 0.0000 0.5000  8 O 2.37-2.50
Ho: 0.5000 0.5000 0.7438  8 O 2.24-2.43
Ho: 0.5000 0.5000 0.2562  8 O 2.24-2.43
Np: 0.0000 0.0000 0.0000  6 O 2.09-2.10
O: 0.0256 0.7583 0.2168  1 Np 2.09
O: 0.5419 0.7749 0.0000  1 Np 2.10
O: 0.9744 0.2417 0.2167  1 Np 2.09
O: 0.9744 0.2417 0.7832  1 Np 2.09
O: 0.4581 0.2251 0.0000  1 Np 2.10
O: 0.0256 0.7583 0.7833  1 Np 2.09
O: 0.4907 0.7374 0.5000  2 Ho 2.24, 2 Pr 2.37-2.47
O: 0.5093 0.2626 0.5000  2 Ho 2.24, 2 Pr 2.37-2.47

Formation energy from raw total energies   -3.163 eV/atom
Final energy   -8.708 eV/atom



# 8
This record from Alexandria via LeMat-Bulk describes an optimized crystal structure of Pr2HoNpO8. The functional is PBE-GGA.

a b c (Å): 3.9508 5.5797 7.5927
angles (deg): 90.01 90.00 94.69
With the nearest neighbours (Å) after each atom.
Fractional coordinates of all 12 atoms:
Pr: 0.5000 0.4999 0.7423  8 O 2.33-2.52
Pr: 0.5000 0.5001 0.2577  8 O 2.33-2.52
Ho: 0.0000 0.0000 0.5000  8 O 2.27-2.52
Np: 0.0000 0.0000 0.0000  6 O 2.04-2.11
O: 0.0352 0.7736 0.2211  1 Np 2.11
O: 0.5573 0.7856 0.0000  1 Np 2.04
O: 0.9647 0.2263 0.2210  1 Np 2.11
O: 0.9648 0.2264 0.7789  1 Np 2.11
O: 0.4427 0.2144 0.0000  1 Np 2.04
O: 0.0353 0.7737 0.7790  1 Np 2.11
O: 0.5101 0.7568 0.5001  2 Ho 2.27-2.52, 2 Pr 2.33
O: 0.4899 0.2432 0.4999  2 Ho 2.27-2.52, 2 Pr 2.33

Formation energy from raw total energies   -3.107 eV/atom
Final energy   -8.669 eV/atom



# 9
This record from Alexandria via LeMat-Bulk describes an optimized crystal structure of HoPuNpO6. The functional is PBE-GGA.

a b c (Å): 5.7407 5.7407 9.4116
angles (deg): 90.00 90.00 120.00
With the nearest neighbours (Å) after each atom.
Fractional coordinates of all 18 atoms:
Ho: 0.3333 0.6667 0.2500  6 O 2.27
Ho: 0.6667 0.3333 0.7500  6 O 2.27
Pu: 0.0000 0.0000 0.0000  6 O 2.32
Pu: 0.0000 0.0000 0.5000  6 O 2.32
Np: 0.6667 0.3333 0.2500  6 O 2.12
Np: 0.3333 0.6667 0.7500  6 O 2.12
O: 0.6701 0.6505 0.1322  1 Np 2.12, 1 Ho 2.27, 1 Pu 2.32
O: 0.9804 0.3299 0.1322  1 Np 2.12, 1 Ho 2.27, 1 Pu 2.32
O: 0.3299 0.9804 0.6322  1 Np 2.12, 1 Ho 2.27, 1 Pu 2.32
O: 0.0196 0.6701 0.8678  1 Np 2.12, 1 Ho 2.27, 1 Pu 2.32
O: 0.3495 0.3299 0.3678  1 Np 2.12, 1 Ho 2.27, 1 Pu 2.32
O: 0.9804 0.6505 0.3678  1 Np 2.12, 1 Ho 2.27, 1 Pu 2.32
O: 0.6505 0.9804 0.8678  1 Np 2.12, 1 Ho 2.27, 1 Pu 2.32
O: 0.6701 0.0196 0.3678  1 Np 2.12, 1 Ho 2.27, 1 Pu 2.32
O: 0.0196 0.3495 0.6322  1 Np 2.12, 1 Ho 2.27, 1 Pu 2.32
O: 0.3495 0.0196 0.1322  1 Np 2.12, 1 Ho 2.27, 1 Pu 2.32
O: 0.6505 0.6701 0.6322  1 Np 2.12, 1 Ho 2.27, 1 Pu 2.32
O: 0.3299 0.3495 0.8678  1 Np 2.12, 1 Ho 2.27, 1 Pu 2.32

Formation energy from raw total energies   -3.081 eV/atom
Final energy   -9.926 eV/atom



# 10
This record from Alexandria via LeMat-Bulk describes an optimized crystal structure of Rb4HoNp3O12. The functional is PBE-GGA.

a b c (Å): 7.4928 7.4928 7.4928
angles (deg): 109.47 109.47 109.47
With the nearest neighbours (Å) after each atom.
Fractional coordinates of all 20 atoms:
Rb: 0.5000 0.5000 0.5000  12 O 3.06
Rb: 0.0000 0.0000 0.5000  12 O 3.06
Rb: 0.5000 0.0000 0.0000  12 O 3.06
Rb: 0.0000 0.5000 0.0000  12 O 3.06
Ho: 0.0000 0.0000 0.0000  6 O 2.30
Np: 0.5000 0.0000 0.5000  6 O 2.03-2.16
Np: 0.5000 0.5000 0.0000  6 O 2.03-2.16
Np: 0.0000 0.5000 0.5000  6 O 2.03-2.16
O: 0.2500 0.5000 0.7500  2 Np 2.16
O: 0.7341 0.0000 0.7341  1 Np 2.03
O: 0.2659 0.0000 0.2659  1 Np 2.03
O: 0.7500 0.5000 0.2500  2 Np 2.16
O: 0.7341 0.7341 0.0000  1 Np 2.03
O: 0.2659 0.2659 0.0000  1 Np 2.03
O: 0.7500 0.2500 0.5000  2 Np 2.16
O: 0.2500 0.7500 0.5000  2 Np 2.16
O: 0.5000 0.2500 0.7500  2 Np 2.16
O: 0.0000 0.7341 0.7341  1 Np 2.03
O: 0.5000 0.7500 0.2500  2 Np 2.16
O: 0.0000 0.2659 0.2659  1 Np 2.03

Formation energy from raw total energies   -2.701 eV/atom
Final energy   -8.039 eV/atom



# 11
This record from Alexandria via LeMat-Bulk describes an optimized crystal structure of Rb2HoNpO6. The functional is PBE-GGA.

a b c (Å): 6.1195 6.1198 8.6543
angles (deg): 90.00 90.00 90.00
With the nearest neighbours (Å) after each atom.
Fractional coordinates of all 20 atoms:
Rb: 0.5000 0.7499 0.2500  12 O 3.06
Rb: 0.0000 0.2501 0.7500  12 O 3.06
Rb: 0.5000 0.7499 0.7500  12 O 3.06
Rb: 0.0000 0.2501 0.2500  12 O 3.06
Ho: 0.0000 0.7500 0.5000  6 O 2.28
Ho: 0.5000 0.2500 0.0000  6 O 2.28
Np: 0.5000 0.2499 0.5000  6 O 2.04
Np: 0.0000 0.7501 0.0000  6 O 2.04
O: 0.5000 0.2499 0.2639  1 Np 2.04, 1 Ho 2.28
O: 0.5000 0.2499 0.7361  1 Np 2.04, 1 Ho 2.28
O: 0.0000 0.7501 0.2361  1 Np 2.04, 1 Ho 2.28
O: 0.0000 0.7501 0.7639  1 Np 2.04, 1 Ho 2.28
O: 0.2640 0.0138 0.5000  1 Np 2.04, 1 Ho 2.28
O: 0.7360 0.0138 0.5000  1 Np 2.04, 1 Ho 2.28
O: 0.2639 0.4859 0.5000  1 Np 2.04, 1 Ho 2.28
O: 0.7361 0.4859 0.5000  1 Np 2.04, 1 Ho 2.28
O: 0.7639 0.5141 0.0000  1 Np 2.04, 1 Ho 2.28
O: 0.2361 0.5141 0.0000  1 Np 2.04, 1 Ho 2.28
O: 0.2360 0.9862 0.0000  1 Np 2.04, 1 Ho 2.28
O: 0.7640 0.9862 0.0000  1 Np 2.04, 1 Ho 2.28

Formation energy from raw total energies   -2.655 eV/atom
Final energy   -7.575 eV/atom



# 12
This record from Alexandria via LeMat-Bulk describes an optimized crystal structure of Rb4Ho3NpO8. The functional is PBE-GGA.

a b c (Å): 7.0442 7.7293 7.0442
angles (deg): 117.11 120.00 90.00
With the nearest neighbours (Å) after each atom.
Fractional coordinates of all 16 atoms:
Rb: 0.5000 0.0000 0.0000  6 O 2.94
Rb: 0.5000 0.0000 0.5000  6 O 2.96
Rb: 0.0000 0.0000 0.0000  6 O 2.96
Rb: 0.0000 0.0000 0.5000  6 O 2.96
Ho: 0.5000 0.5000 0.0000  6 O 2.33
Ho: 0.5000 0.5000 0.5000  6 O 2.33
Ho: 0.0000 0.5000 0.5000  6 O 2.33
Np: 0.0000 0.5000 0.0000  6 O 2.35
O: 0.2267 0.6746 0.9479  2 Ho 2.33, 1 Np 2.35
O: 0.2267 0.6746 0.4533  2 Ho 2.33, 1 Np 2.35
O: 0.2757 0.3270 0.5513  3 Ho 2.33
O: 0.7212 0.6746 0.9479  2 Ho 2.33, 1 Np 2.35
O: 0.2788 0.3254 0.0521  2 Ho 2.33, 1 Np 2.35
O: 0.7243 0.6730 0.4487  3 Ho 2.33
O: 0.7733 0.3254 0.5467  2 Ho 2.33, 1 Np 2.35
O: 0.7733 0.3254 0.0521  2 Ho 2.33, 1 Np 2.35

Formation energy from raw total energies   -2.555 eV/atom
Final energy   -6.943 eV/atom